AcGaIr | PBE-GGA | relaxed

Properties
Energy above the most stable polymorph in this dataset, eV per formula unit: 0.000
Final energy, eV per atom: -6.008

a = 4.396 Å, b = 4.396 Å, c = 4.367 Å
α = 90.00°, β = 90.00°, γ = 120.00°
Fractional coordinates of all 3 atoms:
Ac1 0.000 0.000 0.000
Ga1 0.333 0.667 0.500
Ir1 0.667 0.333 0.500